Below is a relaxed Rb2TaPtS4 crystal, with properties calculated at the PBE level.

Properties
- E_form (uncorrected) (kJ/mol of formula units) = -745
- N(E_F) (states/eV/f.u.) = 7.13

Cell: 5.7794 13.6718 24.3651 Å, 90.00 90.00 90.00°
Closest atoms and distances in Å follow each position.
Space group Fddd (No. 70, origin choice 2)
Inequivalent atoms, fractional coordinates:
Rb: 0.1250 0.1250 0.3036 x16  8 S 3.51-3.71
Ta: 0.1250 0.1250 0.1250 x8  4 S 2.31
Pt: 0.1250 0.1250 0.6250 x8  4 S 2.43
S: 0.1081 0.2776 0.4295 x32  1 Ta 2.31, 1 Pt 2.43


Below is a relaxed CaDyLuTl crystal, with properties calculated at the PBE level.

Properties
- formation energy (meV/atom) = -6
- N(E_F) (states/eV/f.u.) = 4.45

Cell: 7.8109 7.8109 7.8109 Å, 90.00 90.00 90.00°
Closest atoms and distances in Å follow each position.
Space group F-43m (No. 216)
Inequivalent atoms, fractional coordinates:
Ca: 0.0000 0.0000 0.0000 x4  4 Tl 3.38, 4 Lu 3.38
Dy: 0.0000 0.0000 0.5000 x4  4 Lu 3.38, 4 Tl 3.38
Lu: 0.2500 0.2500 0.2500 x4  4 Dy 3.38, 4 Ca 3.38
Tl: 0.2500 0.2500 0.7500 x4  4 Dy 3.38, 4 Ca 3.38


Below is a relaxed Pr3Al7Pd4 crystal, with properties calculated at the PBE level.

Properties
- formation energy (meV/atom) = -753
- N(E_F) (states/eV/f.u.) = 7.56

Cell: 15.9630 4.3745 9.5709 Å, 90.00 124.55 90.00°
Closest atoms and distances in Å follow each position.
Space group C2/m (No. 12)
Inequivalent atoms, fractional coordinates:
Pr: 0.0000 0.0000 0.0000 x2  6 Pd 3.00-3.30, 2 Al 3.34
Pr: 0.1901 0.5000 0.6921 x4  10 Al 3.16-3.32, 4 Pd 3.17-3.18
Al: 0.0000 0.0000 0.5000 x2  2 Pd 2.73, 6 Al 2.90-2.97
Al: 0.0035 0.5000 0.2927 x4  3 Pd 2.52-2.73, 1 Al 2.78
Al: 0.1518 0.0000 0.4240 x4  3 Pd 2.59-2.70, 1 Al 2.90
Al: 0.1800 0.5000 0.0259 x4  4 Pd 2.61-2.70, 1 Al 2.78
Pd: 0.1198 0.0000 0.8460 x4  6 Al 2.61-2.73
Pd: 0.1596 0.5000 0.2871 x4  5 Al 2.52-2.70


Below is a relaxed MnMo2P crystal, with properties calculated at the PBE level.

Properties
- formation energy (meV/atom) = 131
- N(E_F) (states/eV/f.u.) = 5.06

Cell: 2.8124 2.8124 24.3926 Å, 90.00 90.00 120.00°
Closest atoms and distances in Å follow each position.
Space group R3m (No. 160, hexagonal axes)
Inequivalent atoms, fractional coordinates:
Mn: 0.0000 0.0000 0.0000 x3  3 P 2.31
Mo: 0.0000 0.0000 0.5166 x3  3 P 2.59, 9 Mo 2.81-2.87
Mo: 0.0000 0.0000 0.7530 x3  3 Mn 2.66, 9 Mo 2.81-2.87
P: 0.0000 0.0000 0.2658 x3  3 Mn 2.31, 3 Mo 2.59


Below is a relaxed Hg2CF crystal, with properties calculated at the PBE level.

Properties
- E_form (uncorrected) (kJ/mol of formula units) = 340
- N(E_F) (states/eV/f.u.) = 1.32

Cell: 6.2749 6.2749 6.2749 Å, 90.00 90.00 90.00°
Closest atoms and distances in Å follow each position.
Space group Fm-3m (No. 225)
Inequivalent atoms, fractional coordinates:
Hg: 0.2500 0.2500 0.2500 x8  4 F 2.72, 4 C 2.72
C: 0.0000 0.0000 0.0000 x4  8 Hg 2.72
F: 0.0000 0.0000 0.5000 x4  8 Hg 2.72


Below is a relaxed NdMnCoGe3 crystal, with properties calculated at the PBE level.

Properties
- formation energy (meV/atom) = -245
- N(E_F) (states/eV/f.u.) = 3.40

Cell: 5.9952 11.0050 6.9497 Å, 90.00 90.00 90.00°
Closest atoms and distances in Å follow each position.
Space group Cmcm (No. 63)
Inequivalent atoms, fractional coordinates:
Nd: 0.0000 0.2494 0.2500 x4  2 Ge 3.00, 1 Mn 3.26, 1 Co 3.29
Mn: 0.0000 0.4544 0.7500 x4  5 Ge 2.25-2.40
Co: 0.0000 0.0495 0.7500 x4  5 Ge 2.20-2.31
Ge: 0.0000 0.2498 0.7500 x4  1 Co 2.20, 1 Mn 2.25
Ge: 0.2371 0.0000 0.0000 x8  2 Co 2.31, 2 Mn 2.40


Below is a relaxed SrZn8Rh2 crystal, with properties calculated at the PBE level.

Properties
- formation energy (meV/atom) = 49
- N(E_F) (states/eV/f.u.) = 3.85

Cell: 5.4795 5.4795 8.7090 Å, 90.00 90.00 90.00°
Closest atoms and distances in Å follow each position.
Space group P4/mmm (No. 123)
Inequivalent atoms, fractional coordinates:
Sr: 0.0000 0.0000 0.0000 x1  8 Zn 3.36
Zn: 0.2502 0.2502 0.3153 x8  2 Rh 2.52, 4 Zn 2.74
Rh: 0.0000 0.5000 0.5000 x2  8 Zn 2.52


Below is a relaxed PaPF crystal, with properties calculated at the PBE level.

Properties
- E_form (uncorrected) (kJ/mol of formula units) = -493
- N(E_F) (states/eV/f.u.) = 2.84

Cell: 3.8262 3.8262 7.8855 Å, 90.00 90.00 90.00°
Closest atoms and distances in Å follow each position.
Space group I4mm (No. 107)
Inequivalent atoms, fractional coordinates:
Pa: 0.0000 0.0000 0.0000 x2  1 F 2.15
P: 0.0000 0.0000 0.3939 x2  1 F 2.63, 4 Pa 2.83
F: 0.0000 0.0000 0.7274 x2  1 Pa 2.15